(1)
DFT (PBE-GGA) results for a relaxed Pr2Zn4SnAu3 crystal.

Values from the calculation:
Density of states at the Fermi level in states/eV/cell: 5.96
Formation energy in eV/atom: -0.507

Cell lengths 4.344, 4.344, 11.275 Å; angles 90.00, 90.00, 90.00 degrees
Positions (direct):
Pr (0.000, 0.500, 0.244)
Pr (0.500, 0.000, 0.756)
Zn (0.000, 0.000, 0.000)
Zn (0.000, 0.500, 0.643)
Zn (0.500, 0.000, 0.357)
Zn (0.500, 0.500, 0.000)
Sn (0.000, 0.000, 0.500)
Au (0.000, 0.500, 0.867)
Au (0.500, 0.000, 0.133)
Au (0.500, 0.500, 0.500)

(2)
DFT (PBE-GGA) results for a relaxed PrZn2SnAu5 crystal.

Values from the calculation:
Density of states at the Fermi level in states/eV/cell: 3.09
Formation energy in eV/atom: -0.288

Cell lengths 4.928, 4.928, 7.804 Å; angles 90.00, 90.00, 90.00 degrees
Positions (direct):
Pr (0.000, 0.000, 0.000)
Zn (0.500, 0.500, 0.344)
Zn (0.500, 0.500, 0.656)
Sn (0.000, 0.000, 0.500)
Au (0.000, 0.500, 0.246)
Au (0.000, 0.500, 0.754)
Au (0.500, 0.000, 0.246)
Au (0.500, 0.000, 0.754)
Au (0.500, 0.500, 0.000)

(3)
DFT (PBE-GGA) results for a relaxed SrPr3Au2 crystal.

Values from the calculation:
Density of states at the Fermi level in states/eV/cell: 14.15
Offset from the most stable computed form in meV/atom: 0.0
Formation energy in eV/atom: -0.517

Cell lengths 5.149, 9.277, 7.802 Å; angles 90.00, 90.00, 90.00 degrees
Positions (direct):
Sr (0.000, 0.074, 0.000)
Sr (0.000, 0.926, 0.500)
Pr (0.000, 0.339, 0.635)
Pr (0.000, 0.661, 0.135)
Pr (0.500, 0.177, 0.337)
Pr (0.500, 0.421, 0.969)
Pr (0.500, 0.579, 0.469)
Pr (0.500, 0.823, 0.837)
Au (0.000, 0.350, 0.245)
Au (0.000, 0.650, 0.745)
Au (0.500, 0.153, 0.725)
Au (0.500, 0.847, 0.225)

(4)
DFT (PBE-GGA) results for a relaxed SrPr2Au crystal.

Values from the calculation:
Density of states at the Fermi level in states/eV/cell: 6.55
Offset from the most stable computed form in meV/atom: 0.0
Formation energy in eV/atom: -0.272

Cell lengths 3.825, 3.825, 9.833 Å; angles 90.00, 90.00, 90.00 degrees
Positions (direct):
Sr (0.000, 0.000, 0.000)
Pr (0.500, 0.500, 0.326)
Pr (0.500, 0.500, 0.674)
Au (0.000, 0.000, 0.500)

(5)
DFT (PBE-GGA) results for a relaxed SrPr4Au5 crystal.

Values from the calculation:
Density of states at the Fermi level in states/eV/cell: 8.79
Formation energy in eV/atom: -0.745

Cell lengths 3.750, 3.750, 19.018 Å; angles 90.00, 90.00, 90.00 degrees
Positions (direct):
Sr (0.000, 0.000, 0.000)
Pr (0.000, 0.000, 0.202)
Pr (0.000, 0.000, 0.402)
Pr (0.000, 0.000, 0.598)
Pr (0.000, 0.000, 0.798)
Au (0.500, 0.500, 0.112)
Au (0.500, 0.500, 0.302)
Au (0.500, 0.500, 0.500)
Au (0.500, 0.500, 0.698)
Au (0.500, 0.500, 0.888)

(6)
DFT (PBE-GGA) results for a relaxed SrPrAu2 crystal.

Values from the calculation:
Density of states at the Fermi level in states/eV/cell: 2.49
Formation energy in eV/atom: -0.758

Cell lengths 4.044, 4.909, 6.048 Å; angles 90.00, 109.43, 90.00 degrees
Positions (direct):
Sr (0.000, 0.000, 0.000)
Pr (0.272, 0.500, 0.544)
Au (0.556, 0.500, 0.112)
Au (0.724, 0.000, 0.450)

(7)
DFT (PBE-GGA) results for a relaxed Sr2PrAu6 crystal.

Values from the calculation:
Density of states at the Fermi level in states/eV/cell: 3.41
Formation energy in eV/atom: -0.730

Cell lengths 8.339, 8.339, 3.772 Å; angles 90.00, 90.00, 120.00 degrees
Positions (direct):
Sr (0.333, 0.667, 0.000)
Sr (0.667, 0.333, 0.000)
Pr (0.000, 0.000, 0.000)
Au (0.000, 0.332, 0.500)
Au (0.000, 0.668, 0.500)
Au (0.332, 0.000, 0.500)
Au (0.332, 0.332, 0.500)
Au (0.668, 0.000, 0.500)
Au (0.668, 0.668, 0.500)

(8)
DFT (PBE-GGA) results for a relaxed SrPr3Au2 crystal.

Values from the calculation:
Density of states at the Fermi level in states/eV/cell: 11.72
Offset from the most stable computed form in meV/atom: 78.3
Formation energy in eV/atom: -0.438

Cell lengths 8.821, 8.821, 9.193 Å; angles 114.54, 114.54, 35.80 degrees
Positions (direct):
Sr (0.137, 0.137, 0.214)
Sr (0.863, 0.863, 0.786)
Pr (0.064, 0.064, 0.721)
Pr (0.309, 0.309, 0.998)
Pr (0.378, 0.378, 0.490)
Pr (0.622, 0.622, 0.510)
Pr (0.691, 0.691, 0.002)
Pr (0.936, 0.936, 0.279)
Au (0.221, 0.221, 0.623)
Au (0.494, 0.494, 0.842)
Au (0.506, 0.506, 0.158)
Au (0.779, 0.779, 0.377)